SmZnBi | GGA-PBE | relaxed

Calculated formation energy ... -0.9 eV per formula unit

```
3
Lattice="4.287 0.000 0.000 0.000 4.287 0.000 -2.144 -2.144 4.559" Properties=species:S:1:pos:R:3 pbc="T T T"
Zn 2.144 2.144 1.095
Bi 2.144 2.144 4.017
Sm 0.000 0.000 2.639
```